Material: Tb2H2Br3Cl
Method: DFT, PBE
State: optimized geometry

Total DFT energy (no corrections): -35.6 eV for the cell shown

a = 3.833 Å, b = 3.833 Å, c = 14.811 Å
α = 90.00°, β = 90.00°, γ = 120.00°
Fractional positions:
Tb1 0.000 0.000 0.000
Tb2 0.000 0.000 0.496
H1 0.333 0.667 0.000
H2 0.667 0.333 0.498
Br1 0.333 0.667 0.626
Br2 0.667 0.333 0.130
Br3 0.667 0.333 0.870
Cl1 0.333 0.667 0.379

=====

Material: KNdSnTe3
Method: DFT, PBE
State: optimized geometry

Excess energy over the best structure of this formula in the dataset: 0 meV/atom

a = 16.604 Å, b = 4.502 Å, c = 12.861 Å
α = 90.00°, β = 90.00°, γ = 90.00°
Fractional positions:
K1 0.230 0.250 0.079
K2 0.270 0.750 0.579
K3 0.730 0.250 0.421
K4 0.770 0.750 0.921
Nd1 0.005 0.750 0.652
Nd2 0.495 0.250 0.152
Nd3 0.505 0.750 0.848
Nd4 0.995 0.250 0.348
Sn1 0.037 0.250 0.919
Sn2 0.463 0.750 0.419
Sn3 0.537 0.250 0.581
Sn4 0.963 0.750 0.081
Te1 0.097 0.750 0.225
Te2 0.109 0.250 0.544
Te3 0.138 0.750 0.835
Te4 0.362 0.250 0.335
Te5 0.391 0.750 0.044
Te6 0.403 0.250 0.725
Te7 0.597 0.750 0.275
Te8 0.609 0.250 0.956
Te9 0.638 0.750 0.665
Te10 0.862 0.250 0.165
Te11 0.891 0.750 0.456
Te12 0.903 0.250 0.775

=====

What did the first record say?
Material: Tb2H2Br3Cl
Method: DFT, PBE
State: optimized geometry

Total DFT energy (no corrections): -35.6 eV for the cell shown

a = 3.833 Å, b = 3.833 Å, c = 14.811 Å
α = 90.00°, β = 90.00°, γ = 120.00°
Fractional positions:
Tb1 0.000 0.000 0.000
Tb2 0.000 0.000 0.496
H1 0.333 0.667 0.000
H2 0.667 0.333 0.498
Br1 0.333 0.667 0.626
Br2 0.667 0.333 0.130
Br3 0.667 0.333 0.870
Cl1 0.333 0.667 0.379